# 1
A relaxed OsW2 crystal. Source: Alexandria via LeMat-Bulk, functional PBE.

Calculated values
Its volume is 15.68 Å³/atom. The value obtained for the density of states at the Fermi level is 20.77 states/eV/cell. The space-group type is P4_2/mnm. The formation energy comes out at 2 meV/atom. As for the crystal system: tetragonal. As for the total energy: -12.377 eV per atom.

a b c (Å): 9.7080 9.7080 4.9919
angles (deg): 90.00 90.00 90.00
Element x y z (fractional)
Os 0.0000 0.0000 0.0000
Os 0.0690 0.2628 0.0000
Os 0.2372 0.5690 0.5000
Os 0.2628 0.0690 0.0000
Os 0.4310 0.7628 0.5000
Os 0.5000 0.5000 0.5000
Os 0.5690 0.2372 0.5000
Os 0.7372 0.9310 0.0000
Os 0.7628 0.4310 0.5000
Os 0.9310 0.7372 0.0000
W 0.0375 0.3695 0.5000
W 0.1035 0.1035 0.5000
W 0.1305 0.5375 0.0000
W 0.1800 0.8200 0.2507
W 0.1800 0.8200 0.7493
W 0.3200 0.3200 0.2493
W 0.3200 0.3200 0.7507
W 0.3695 0.0375 0.5000
W 0.3965 0.6035 0.0000
W 0.4625 0.8695 0.0000
W 0.5375 0.1305 0.0000
W 0.6035 0.3965 0.0000
W 0.6305 0.9625 0.5000
W 0.6800 0.6800 0.2493
W 0.6800 0.6800 0.7507
W 0.8200 0.1800 0.2507
W 0.8200 0.1800 0.7493
W 0.8695 0.4625 0.0000
W 0.8965 0.8965 0.5000
W 0.9625 0.6305 0.5000



# 2
A relaxed DyThTeRh crystal. Source: Alexandria via LeMat-Bulk, functional PBE.

Calculated values
Its volume is 28.11 Å³/atom. The value obtained for the density of states at the Fermi level is 0.75 states/eV/cell. The space-group type is R3m. For the raw formation energy, the calculation gives -1.06 eV/atom. As for the crystal system: trigonal. As for the total energy: -6.690 eV per atom.

a b c (Å): 7.9139 7.9139 7.9139
angles (deg): 30.39 30.39 30.39
Element x y z (fractional)
Dy 0.0000 0.0000 0.0000
Th 0.8020 0.8020 0.8020
Te 0.2377 0.2377 0.2377
Rh 0.4032 0.4032 0.4032



# 3
A relaxed HfSbTe2C crystal. Source: Alexandria via LeMat-Bulk, functional PBE.

Calculated values
Its volume is 21.26 Å³/atom. The value obtained for the density of states at the Fermi level is 3.18 states/eV/cell. The space-group type is P4/mmm. For the raw formation energy, the calculation gives 0.81 eV/atom. As for the crystal system: tetragonal. As for the total energy: -5.109 eV per atom.

a b c (Å): 4.7495 4.7495 4.7124
angles (deg): 90.00 90.00 90.00
Element x y z (fractional)
Hf 0.0000 0.0000 0.0000
Sb 0.5000 0.5000 0.0000
Te 0.0000 0.5000 0.5000
Te 0.5000 0.0000 0.5000
C 0.5000 0.5000 0.5000



# 4
A relaxed La2Nd12Tm5 crystal. Source: Alexandria via LeMat-Bulk, functional PBE.

Calculated values
Its volume is 34.80 Å³/atom. The value obtained for the density of states at the Fermi level is 22.02 states/eV/cell. The space-group type is C2/m. The formation energy comes out at 197 meV/atom. As for the crystal system: monoclinic. As for the total energy: -4.509 eV per atom.

a b c (Å): 9.2754 9.2754 8.9095
angles (deg): 100.52 100.52 61.99
Element x y z (fractional)
La 0.1771 0.8229 0.0000
La 0.8229 0.1771 0.0000
Nd 0.0243 0.0243 0.6736
Nd 0.0776 0.5747 0.2702
Nd 0.1914 0.5764 0.6929
Nd 0.4166 0.4166 0.0770
Nd 0.4236 0.8086 0.3071
Nd 0.4253 0.9224 0.7298
Nd 0.5747 0.0776 0.2702
Nd 0.5764 0.1914 0.6929
Nd 0.5834 0.5834 0.9230
Nd 0.8086 0.4236 0.3071
Nd 0.9224 0.4253 0.7298
Nd 0.9757 0.9757 0.3264
Tm 0.1896 0.1896 0.0471
Tm 0.2124 0.2124 0.4401
Tm 0.5000 0.5000 0.5000
Tm 0.7876 0.7876 0.5599
Tm 0.8104 0.8104 0.9529



# 5
A relaxed NpP2Rh crystal. Source: Alexandria via LeMat-Bulk, functional PBE.

Calculated values
Its volume is 17.89 Å³/atom. The value obtained for the density of states at the Fermi level is 5.66 states/eV/cell. The space-group type is R3m. The formation energy comes out at -591 meV/atom. As for the crystal system: trigonal. As for the total energy: -8.369 eV per atom.

a b c (Å): 6.1691 6.1691 6.1691
angles (deg): 35.73 35.73 35.73
Element x y z (fractional)
Np 0.0000 0.0000 0.0000
P 0.4301 0.4301 0.4301
P 0.5661 0.5661 0.5661
Rh 0.8178 0.8178 0.8178



# 6
A relaxed CsSbBr4 crystal. Source: Alexandria via LeMat-Bulk, functional PBE.

Calculated values
Its volume is 42.38 Å³/atom. The space-group type is Cmcm. For the raw formation energy, the calculation gives -1.03 eV/atom. As for the crystal system: orthorhombic. As for the total energy: -2.978 eV per atom.

a b c (Å): 11.3737 11.3737 8.1110
angles (deg): 90.00 90.00 151.01
Element x y z (fractional)
Cs 0.0977 0.9023 0.7500
Cs 0.9023 0.0977 0.2500
Sb 0.3990 0.6010 0.7500
Sb 0.6010 0.3990 0.2500
Br 0.0870 0.9130 0.2500
Br 0.3189 0.6811 0.5080
Br 0.3189 0.6811 0.9920
Br 0.5000 0.5000 0.0000
Br 0.5000 0.5000 0.5000
Br 0.6811 0.3189 0.0080
Br 0.6811 0.3189 0.4920
Br 0.9130 0.0870 0.7500